A relaxed Tb2Pr2Pt15 crystal. Source: Alexandria via LeMat-Bulk, functional GGA-PBE.

```
Tb2Pr2Pt15
1.0
4.698 2.713 4.622
-4.698 2.713 4.622
0.000 -5.425 4.622
Tb Pr Pt
2 2 15
Direct
0.106 0.106 0.106
0.894 0.894 0.894
0.357 0.357 0.357
0.643 0.643 0.643
0.000 0.000 0.500
0.000 0.311 0.689
0.000 0.500 0.000
0.000 0.689 0.311
0.160 0.653 0.653
0.311 0.000 0.689
0.311 0.689 0.000
0.347 0.347 0.840
0.347 0.840 0.347
0.500 0.000 0.000
0.653 0.160 0.653
0.653 0.653 0.160
0.689 0.000 0.311
0.689 0.311 0.000
0.840 0.347 0.347
```

Values from the calculation:
Formation enthalpy at 0 K = -0.7256 eV/atom
Total DFT energy (no corrections) = -6.485 eV per atom
Magnetic moment = 0.00 μB per atom

A relaxed ScTlSeI2 crystal. Source: Alexandria via LeMat-Bulk, functional GGA-PBE.

```
ScTlSeI2
1.0
5.537 0.000 0.000
0.000 5.537 0.000
0.000 0.000 6.353
Sc Tl Se I
1 1 1 2
Direct
0.000 0.000 0.000
0.000 0.000 0.500
0.500 0.500 0.500
0.000 0.500 0.000
0.500 0.000 0.000
```

Values from the calculation:
Total DFT energy (no corrections) = -3.250 eV per atom
Magnetic moment = 0.22 μB per atom
Excess energy over the best structure of this formula in the dataset = 0.751 eV/atom